[1]
KBiAu3: optimized geometry, PBE-GGA.

Calculated values
For the polymorph energy (0 for the lowest one), the calculation gives 0.0 kJ per mole of atoms. For the density of states at the Fermi level, the calculation gives 2.495 states/eV per cell. The energy relative to the elements is -3.33 kcal/mol of atoms. The total energy comes out at -3.1064 eV/atom.

Cell lengths 5.556, 5.556, 10.415 Å; angles 74.53, 74.53, 60.00 degrees
Sites, in units of the cell vectors:
K 0.812 0.812 0.564
K 0.188 0.188 0.436
Bi 0.684 0.684 0.949
Bi 0.316 0.316 0.051
Au 0.757 0.757 0.232
Au 0.757 0.254 0.232
Au 0.746 0.243 0.768
Au 0.243 0.746 0.768
Au 0.243 0.243 0.768
Au 0.254 0.757 0.232

[2]
NaH6RhPb2: optimized geometry, PBE-GGA.

Calculated values
For the density of states at the Fermi level, the calculation gives 0.267 states/eV per cell. The total energy comes out at -3.5584 eV/atom.

Cell lengths 5.951, 5.205, 5.205 Å; angles 120.00, 90.00, 90.00 degrees
Sites, in units of the cell vectors:
Na 0.500 0.000 0.000
H 0.826 0.150 0.300
H 0.826 0.150 0.850
H 0.826 0.700 0.850
H 0.174 0.850 0.150
H 0.174 0.300 0.150
H 0.174 0.850 0.700
Rh 0.000 0.000 0.000
Pb 0.198 0.333 0.667
Pb 0.802 0.667 0.333

[3]
K3HoU3Se8: optimized geometry, PBE-GGA.

Calculated values
The uncorrected formation energy comes out at -1.3699 eV per atom. For the density of states at the Fermi level, the calculation gives 16.451 states/eV per cell. The total energy comes out at -6.0106 eV/atom.

Cell lengths 8.357, 8.357, 9.201 Å; angles 117.02, 90.00, 120.00 degrees
Site moments in Bohr magnetons follow the coordinates.
Sites, in units of the cell vectors:
K 0.000 0.000 0.000  0.00
K 0.000 0.500 0.000  0.00
K 0.500 0.500 0.000  0.00
Ho 0.000 0.000 0.500  0.06
U 0.500 0.000 0.500  2.53
U 0.500 0.500 0.500  2.53
U 0.000 0.500 0.500  2.53
Se 0.264 0.528 0.293  -0.06
Se 0.736 0.472 0.707  -0.06
Se 0.766 0.533 0.298  -0.05
Se 0.234 0.467 0.702  -0.05
Se 0.766 0.031 0.298  -0.05
Se 0.234 0.969 0.702  -0.05
Se 0.265 0.031 0.298  -0.05
Se 0.735 0.969 0.702  -0.05

[4]
CaTlCdGa: optimized geometry, PBE-GGA.

Calculated values
For the density of states at the Fermi level, the calculation gives 2.093 states/eV per cell. The energy relative to the elements is -5.04 kcal/mol of atoms. The total energy comes out at -2.2959 eV/atom.

Cell lengths 5.182, 5.182, 5.182 Å; angles 60.00, 60.00, 60.00 degrees
Sites, in units of the cell vectors:
Tl 0.500 0.500 0.500
Ca 0.250 0.250 0.250
Ga 0.000 0.000 0.000
Cd 0.750 0.750 0.750

[5]
LiMnNi2: optimized geometry, PBE-GGA.

Calculated values
For the density of states at the Fermi level, the calculation gives 1.802 states/eV per cell. The energy relative to the elements is -0.56 kcal/mol of atoms. The total energy comes out at -5.6856 eV/atom.

Cell lengths 4.073, 4.073, 2.793 Å; angles 90.00, 90.00, 90.03 degrees
Site moments in Bohr magnetons follow the coordinates.
Sites, in units of the cell vectors:
Ni 0.000 0.000 0.000  0.59
Ni 0.500 0.500 0.000  0.59
Mn 0.000 0.500 0.500  3.15
Li 0.500 0.000 0.500  -0.05

[6]
Na4Tl5In2: optimized geometry, PBE-GGA.

Calculated values
For the polymorph energy (0 for the lowest one), the calculation gives 0.0 kJ per mole of atoms. For the density of states at the Fermi level, the calculation gives 5.706 states/eV per cell. The energy relative to the elements is -1.78 kcal/mol of atoms. The total energy comes out at -2.1304 eV/atom.

Cell lengths 3.473, 8.372, 10.853 Å; angles 94.21, 90.00, 90.00 degrees
Sites, in units of the cell vectors:
Na 0.500 0.714 0.563
Na 0.500 0.171 0.889
Na 0.500 0.286 0.437
Na 0.500 0.829 0.111
Tl 0.000 0.569 0.298
Tl 0.000 0.183 0.160
Tl 0.000 0.500 0.000
Tl 0.000 0.817 0.840
Tl 0.000 0.431 0.702
In 0.000 0.060 0.634
In 0.000 0.940 0.366

[7]
Ba5Pd2Au: optimized geometry, PBE-GGA.

Calculated values
For the density of states at the Fermi level, the calculation gives 7.951 states/eV per cell. The energy relative to the elements is -10.11 kcal/mol of atoms. The total energy comes out at -3.3479 eV/atom.

Cell lengths 6.454, 8.124, 15.769 Å; angles 90.00, 90.00, 113.40 degrees
Sites, in units of the cell vectors:
Ba 0.949 0.897 0.882
Ba 0.949 0.897 0.618
Ba 0.332 0.664 0.439
Ba 0.332 0.664 0.061
Ba 0.763 0.526 0.250
Ba 0.237 0.474 0.750
Ba 0.668 0.336 0.561
Ba 0.668 0.336 0.939
Ba 0.051 0.103 0.118
Ba 0.051 0.103 0.382
Pd 0.849 0.699 0.443
Pd 0.849 0.699 0.057
Pd 0.151 0.301 0.557
Pd 0.151 0.301 0.943
Au 0.776 0.553 0.750
Au 0.224 0.447 0.250

[8]
Y2ErO: optimized geometry, PBE-GGA.

Calculated values
The uncorrected formation energy comes out at -0.8276 eV per atom. For the polymorph energy (0 for the lowest one), the calculation gives 50.2 kJ per mole of atoms. For the density of states at the Fermi level, the calculation gives 5.433 states/eV per cell. The total energy comes out at -6.4399 eV/atom.

Cell lengths 3.193, 3.193, 8.685 Å; angles 90.00, 90.00, 90.00 degrees
Sites, in units of the cell vectors:
Y 0.000 0.000 0.823
Y 0.000 0.000 0.177
O 0.500 0.500 0.000
Er 0.500 0.500 0.500